[1]
Computed, not measured: crystalline La2SiTc2 at its relaxed geometry at the PBE level of DFT.

Geometry as POSCAR:
```
La2SiTc2
1.0
6.732 0.000 0.000
0.000 6.732 0.000
0.000 0.000 4.800
Tc Si La
4 2 4
Direct
0.375 0.875 0.000 Tc
0.125 0.375 0.000 Tc
0.625 0.125 0.000 Tc
0.875 0.625 0.000 Tc
0.000 0.000 0.000 Si
0.500 0.500 0.000 Si
0.314 0.186 0.500 La
0.814 0.314 0.500 La
0.686 0.814 0.500 La
0.186 0.686 0.500 La
```

energy relative to the elements, uncorrected	-124	meV/atom
DFT total energy	-7.33	eV/atom
total magnetic moment	0.43	μB per formula unit

[2]
Computed, not measured: crystalline RbInS at its relaxed geometry at the PBE level of DFT.

Geometry as POSCAR:
```
RbInS
1.0
4.191 0.000 0.000
-2.095 3.629 0.000
0.000 0.000 6.659
In S Rb
1 1 1
Direct
0.333 0.667 0.582 In
0.667 0.333 0.371 S
0.000 0.000 0.046 Rb
```

energy relative to the elements, uncorrected	-688	meV/atom
excess energy over the best structure of this formula in the dataset	0.0	meV/atom
DFT total energy	-3.30	eV/atom
total magnetic moment	0.00	μB per formula unit

[3]
Computed, not measured: crystalline KLiY2Ag at its relaxed geometry at the PBE level of DFT.

Geometry as POSCAR:
```
KLiY2Ag
1.0
-1.593 -0.828 -5.317
-5.351 -2.744 2.031
-2.564 4.992 -0.009
Li K Ag Y
1 1 1 2
Direct
0.500 0.500 0.500 Li
0.000 0.500 0.000 K
0.000 0.000 0.000 Ag
0.000 0.000 0.500 Y
0.500 0.000 0.000 Y
```

energy of formation from the pure elements	444	meV/atom
DFT total energy	-3.31	eV/atom
total magnetic moment	0.00	μB per formula unit